An optimized crystal structure of Pm2YHo12. Source: the Alexandria database, functional PBE.

Values from the calculation:
E_form   0.110 eV/atom
Volume   32.01 A^3/atom
Mass density   8.2 Mg/m³
E_tot   -4.62 eV/atom

Cell lengths 6.6501, 6.6501, 24.3410 Å; angles 94.44, 94.44, 115.60 degrees
Fractional positions:
Pm  0.4986  0.9986  0.7289
Pm  0.5184  0.0184  0.2699
Pm  0.9960  0.4960  0.7289
Pm  0.0185  0.5185  0.2702
Ho  0.6712  0.6720  0.0749
Ho  0.9687  0.9670  0.6714
Ho  0.6613  0.6612  0.5571
Ho  0.3155  0.8155  0.8639
Ho  0.9834  0.9831  0.2000
Ho  0.6686  0.1686  0.5714
Ho  0.1681  0.6681  0.5703
Ho  0.0335  0.0358  0.8026
Ho  0.8508  0.8508  0.9334
Ho  0.4670  0.4687  0.6714
Ho  0.0491  0.0491  0.3311
Ho  0.1612  0.1613  0.5571
Ho  0.6968  0.1968  0.1251
Ho  0.8571  0.8556  0.4469
Ho  0.8163  0.3163  0.8654
Ho  0.1965  0.6965  0.1249
Ho  0.3508  0.3508  0.9334
Ho  0.5491  0.5491  0.3311
Ho  0.3556  0.3571  0.4469
Ho  0.3462  0.8462  0.4255
Ho  0.1720  0.1712  0.0749
Ho  0.5358  0.5335  0.8026
Ho  0.8448  0.3448  0.4256
Ho  0.4831  0.4834  0.2000
Y  0.3829  0.8829  0.9971
Y  0.8832  0.3832  0.9980



An optimized crystal structure of Pm9Y2Ho. Source: the Alexandria database, functional PBE.

Values from the calculation:
E_form   0.016 eV/atom
Volume   33.73 A^3/atom
Mass density   6.8 Mg/m³
E_tot   -5.01 eV/atom

Cell lengths 5.1286, 5.1286, 15.3888 Å; angles 90.00, 90.00, 90.00 degrees
Fractional positions:
Pm  0.5000  0.5000  0.6671
Pm  0.0000  0.5000  0.5000
Pm  0.0000  0.5000  0.1657
Pm  0.5000  0.0000  0.1657
Pm  0.5000  0.0000  0.8343
Pm  0.0000  0.5000  0.8343
Pm  0.5000  0.0000  0.5000
Pm  0.5000  0.5000  0.3329
Pm  0.5000  0.5000  0.0000
Y  0.0000  0.0000  0.3330
Y  0.0000  0.0000  0.6670
Ho  0.0000  0.0000  0.0000



An optimized crystal structure of PmY2Ho9. Source: the Alexandria database, functional PBE.

Values from the calculation:
E_form   0.024 eV/atom
Offset from the most stable computed form   0.0 meV per atom
Volume   31.48 A^3/atom
Mass density   7.9 Mg/m³
E_tot   -4.88 eV/atom

Cell lengths 5.0127, 5.0127, 15.0353 Å; angles 90.00, 90.00, 90.00 degrees
Fractional positions:
Y  0.0000  0.0000  0.3338
Y  0.0000  0.0000  0.6662
Ho  0.5000  0.0000  0.1676
Ho  0.5000  0.5000  0.6657
Ho  0.5000  0.0000  0.8324
Ho  0.0000  0.5000  0.5000
Ho  0.5000  0.0000  0.5000
Ho  0.5000  0.5000  0.3343
Ho  0.5000  0.5000  0.0000
Ho  0.0000  0.5000  0.8324
Ho  0.0000  0.5000  0.1676
Pm  0.0000  0.0000  0.0000



An optimized crystal structure of Pm8YHo2. Source: the Alexandria database, functional PBE.

Values from the calculation:
E_form   0.210 eV/atom
Offset from the most stable computed form   43.0 meV per atom
Volume   34.49 A^3/atom
Mass density   6.9 Mg/m³
E_tot   -4.67 eV/atom

Cell lengths 8.6118, 9.2836, 9.2836 Å; angles 42.84, 52.14, 52.14 degrees
Fractional positions:
Pm  0.1972  0.3517  0.8330
Pm  0.7759  0.6083  0.6083
Pm  0.2931  0.7403  0.7403
Pm  0.2241  0.3917  0.3917
Pm  0.8028  0.1670  0.6483
Pm  0.1972  0.8330  0.3517
Pm  0.8028  0.6483  0.1670
Pm  0.7069  0.2597  0.2597
Ho  0.5354  0.8543  0.8543
Ho  0.4646  0.1457  0.1457
Y  0.0000  0.0000  0.0000



An optimized crystal structure of Pm5Y2Ho5. Source: the Alexandria database, functional PBE.

Values from the calculation:
E_form   0.018 eV/atom
Volume   32.58 A^3/atom
Mass density   7.3 Mg/m³
E_tot   -4.95 eV/atom

Cell lengths 5.0650, 8.0069, 10.7722 Å; angles 72.76, 76.40, 71.56 degrees
Fractional positions:
Y  0.0833  0.5822  0.2513
Y  0.9167  0.4178  0.7487
Pm  0.5847  0.0813  0.7494
Pm  0.3342  0.3320  0.9997
Pm  0.6658  0.6680  0.0003
Pm  0.5000  0.5000  0.5000
Pm  0.4153  0.9187  0.2506
Ho  0.8320  0.8351  0.5009
Ho  0.7495  0.2492  0.2519
Ho  0.1680  0.1649  0.4991
Ho  0.2505  0.7508  0.7481
Ho  0.0000  0.0000  0.0000



An optimized crystal structure of Pm12Y2Ho. Source: the Alexandria database, functional PBE.

Values from the calculation:
E_form   0.349 eV/atom
Volume   36.16 A^3/atom
Mass density   6.4 Mg/m³
E_tot   -4.62 eV/atom

Cell lengths 6.5978, 6.5978, 24.9209 Å; angles 90.00, 90.00, 90.00 degrees
Fractional positions:
Pm  0.6673  0.1673  0.4373
Pm  0.7500  0.7500  0.1094
Pm  0.0000  0.0000  0.6674
Pm  0.3327  0.1673  0.5627
Pm  0.7500  0.2500  0.8906
Pm  0.6673  0.8327  0.5627
Pm  0.0000  0.0000  0.2093
Pm  0.5000  0.5000  0.2093
Pm  0.7500  0.2500  0.1094
Pm  0.0000  0.0000  0.7907
Pm  0.1673  0.3327  0.4373
Pm  0.8327  0.6673  0.4373
Pm  0.5000  0.5000  0.7907
Pm  0.1673  0.6673  0.5627
Pm  0.2500  0.2500  0.1094
Pm  0.2500  0.7500  0.8906
Pm  0.2500  0.2500  0.8906
Pm  0.5000  0.5000  0.6674
Pm  0.2500  0.7500  0.1094
Pm  0.7500  0.7500  0.8906
Pm  0.5000  0.5000  0.3326
Pm  0.3327  0.8327  0.4373
Pm  0.8327  0.3327  0.5627
Pm  0.0000  0.0000  0.3326
Ho  0.0000  0.5000  0.0000
Ho  0.5000  0.0000  0.0000
Y  0.5000  0.0000  0.2514
Y  0.5000  0.0000  0.7486
Y  0.0000  0.5000  0.7486
Y  0.0000  0.5000  0.2514